DFT (GGA+U) results for a geometry-optimized VPbO2 structure.

a b c (Å): 6.6684 6.6684 6.6684
angles (deg): 33.22 33.22 33.22
Sites, in units of the cell vectors:
1 V 0.0000 0.0000 0.0000
2 Pb 0.5000 0.5000 0.5000
3 O 0.0964 0.0964 0.0964
4 O 0.9036 0.9036 0.9036

Summary:
Symmetry: R-3m
Calculated total energy, eV/cell: -24.90



DFT (GGA+U) results for a geometry-optimized V5Pb3O12 structure.

a b c (Å): 11.3127 11.3127 11.3127
angles (deg): 109.47 109.47 109.47
Sites, in units of the cell vectors:
1 V 0.0000 0.0000 0.0000
2 V 0.0000 0.0000 0.5000
3 V 0.0000 0.5000 0.0000
4 V 0.0000 0.5000 0.5000
5 V 0.1250 0.7500 0.8750
6 V 0.1250 0.8750 0.2500
7 V 0.2500 0.1250 0.8750
8 V 0.2500 0.6250 0.3750
9 V 0.3750 0.2500 0.6250
10 V 0.3750 0.6250 0.7500
11 V 0.5000 0.0000 0.0000
12 V 0.5000 0.0000 0.5000
13 V 0.5000 0.5000 0.0000
14 V 0.5000 0.5000 0.5000
15 V 0.6250 0.3750 0.2500
16 V 0.6250 0.7500 0.3750
17 V 0.7500 0.3750 0.6250
18 V 0.7500 0.8750 0.1250
19 V 0.8750 0.1250 0.7500
20 V 0.8750 0.2500 0.1250
21 Pb 0.1250 0.2500 0.3750
22 Pb 0.1250 0.3750 0.7500
23 Pb 0.2500 0.3750 0.1250
24 Pb 0.2500 0.8750 0.6250
25 Pb 0.3750 0.1250 0.2500
26 Pb 0.3750 0.7500 0.1250
27 Pb 0.6250 0.2500 0.8750
28 Pb 0.6250 0.8750 0.7500
29 Pb 0.7500 0.1250 0.3750
30 Pb 0.7500 0.6250 0.8750
31 Pb 0.8750 0.6250 0.2500
32 Pb 0.8750 0.7500 0.6250
33 O 0.0054 0.1955 0.1133
34 O 0.0054 0.3099 0.8921
35 O 0.0822 0.6955 0.6901
36 O 0.0822 0.8867 0.3921
37 O 0.1079 0.6133 0.4178
38 O 0.1079 0.9946 0.6901
39 O 0.1133 0.0054 0.1955
40 O 0.1133 0.6079 0.9178
41 O 0.1901 0.1955 0.5822
42 O 0.1901 0.4946 0.6079
43 O 0.1955 0.1133 0.0054
44 O 0.1955 0.5822 0.1901
45 O 0.3045 0.3099 0.9178
46 O 0.3045 0.4946 0.3867
47 O 0.3099 0.8921 0.0054
48 O 0.3099 0.9178 0.3045
49 O 0.3867 0.3045 0.4946
50 O 0.3867 0.5822 0.8921
51 O 0.3921 0.0822 0.8867
52 O 0.3921 0.8099 0.5054
53 O 0.4178 0.1079 0.6133
54 O 0.4178 0.8099 0.8045
55 O 0.4946 0.3867 0.3045
56 O 0.4946 0.6079 0.1901
57 O 0.5054 0.3921 0.8099
58 O 0.5054 0.6133 0.6955
59 O 0.5822 0.1901 0.1955
60 O 0.5822 0.8921 0.3867
61 O 0.6079 0.1901 0.4946
62 O 0.6079 0.9178 0.1133
63 O 0.6133 0.4178 0.1079
64 O 0.6133 0.6955 0.5054
65 O 0.6901 0.0822 0.6955
66 O 0.6901 0.1079 0.9946
67 O 0.6955 0.5054 0.6133
68 O 0.6955 0.6901 0.0822
69 O 0.8045 0.4178 0.8099
70 O 0.8045 0.8867 0.9946
71 O 0.8099 0.5054 0.3921
72 O 0.8099 0.8045 0.4178
73 O 0.8867 0.3921 0.0822
74 O 0.8867 0.9946 0.8045
75 O 0.8921 0.0054 0.3099
76 O 0.8921 0.3867 0.5822
77 O 0.9178 0.1133 0.6079
78 O 0.9178 0.3045 0.3099
79 O 0.9946 0.6901 0.1079
80 O 0.9946 0.8045 0.8867

Summary:
Symmetry: Ia-3d
Calculated total energy, eV/cell: -568.57



DFT (GGA+U) results for a geometry-optimized VPb2O4 structure.

a b c (Å): 6.0416 6.0416 6.0416
angles (deg): 121.22 121.22 87.90
Sites, in units of the cell vectors:
1 V 0.0000 0.0000 0.0000
2 Pb 0.2500 0.7500 0.5000
3 Pb 0.7500 0.2500 0.5000
4 O 0.0537 0.7012 0.0000
5 O 0.2988 0.2988 0.3525
6 O 0.7012 0.0537 0.0000
7 O 0.9463 0.9463 0.6475

Summary:
ΔE to the lowest computed polymorph, eV/atom: 0.046
Symmetry: I-42m
Calculated total energy, eV/cell: -44.49



DFT (GGA+U) results for a geometry-optimized VPb2O4 structure.

a b c (Å): 6.9669 6.9669 6.9669
angles (deg): 146.71 146.71 47.79
Sites, in units of the cell vectors:
1 V 0.0000 0.0000 0.0000
2 Pb 0.3584 0.3584 0.0000
3 Pb 0.6416 0.6416 0.0000
4 O 0.0000 0.5000 0.5000
5 O 0.1502 0.1502 0.0000
6 O 0.5000 0.0000 0.5000
7 O 0.8498 0.8498 0.0000

Summary:
ΔE to the lowest computed polymorph, eV/atom: 0.006
Symmetry: I4/mmm
Calculated total energy, eV/cell: -44.78



DFT (GGA+U) results for a geometry-optimized V6PbO15 structure.

a b c (Å): 8.0597 8.0597 10.3686
angles (deg): 110.07 110.07 26.77
Sites, in units of the cell vectors:
1 V 0.0000 0.0000 0.0000
2 V 0.3293 0.3293 0.7955
3 V 0.3914 0.3914 0.4911
4 V 0.5419 0.5419 0.7888
5 V 0.7811 0.7811 0.0082
6 V 0.9537 0.9537 0.3090
7 Pb 0.6728 0.6728 0.3062
8 O 0.0322 0.0322 0.8292
9 O 0.0660 0.0660 0.3703
10 O 0.1034 0.1034 0.1269
11 O 0.2289 0.2289 0.6799
12 O 0.2747 0.2747 0.4214
13 O 0.2980 0.2980 0.9726
14 O 0.4009 0.4009 0.6888
15 O 0.4283 0.4283 0.3246
16 O 0.4816 0.4816 0.9522
17 O 0.5411 0.5411 0.6290
18 O 0.6648 0.6648 0.8967
19 O 0.7736 0.7736 0.1654
20 O 0.8497 0.8497 0.8548
21 O 0.9156 0.9156 0.4697
22 O 0.9272 0.9272 0.1240

Summary:
Symmetry: Cm
Calculated total energy, eV/cell: -162.49



DFT (GGA+U) results for a geometry-optimized VPbO2 structure.

a b c (Å): 6.0830 6.0830 6.0830
angles (deg): 126.82 126.82 78.55
Sites, in units of the cell vectors:
1 V 0.0000 0.0000 0.0000
2 V 0.7500 0.2500 0.5000
3 Pb 0.2500 0.7500 0.5000
4 Pb 0.5000 0.5000 0.0000
5 O 0.0050 0.1250 0.3800
6 O 0.3750 0.9950 0.1200
7 O 0.7450 0.6250 0.6200
8 O 0.8750 0.2550 0.8800

Summary:
Symmetry: I-42d
Calculated total energy, eV/cell: -51.93



DFT (GGA+U) results for a geometry-optimized VPbWO6 structure.

a b c (Å): 5.2707 5.2707 5.4161
angles (deg): 90.49 90.49 121.10
Sites, in units of the cell vectors:
1 V 0.0000 0.0000 0.0000
2 Pb 0.3322 0.6678 0.5000
3 W 0.6731 0.3269 0.0000
4 O 0.3341 0.2756 0.1960
5 O 0.3424 0.0448 0.7948
6 O 0.7166 0.0466 0.2013
7 O 0.7244 0.6659 0.8040
8 O 0.9534 0.2834 0.7987
9 O 0.9552 0.6576 0.2052

Summary:
Symmetry: C2
Calculated total energy, eV/cell: -64.83



DFT (GGA+U) results for a geometry-optimized V2ZnPbO6 structure.

a b c (Å): 7.3611 7.3611 6.3555
angles (deg): 105.08 105.08 103.22
Sites, in units of the cell vectors:
1 V 0.0519 0.2107 0.1588
2 V 0.2107 0.0519 0.6588
3 V 0.7893 0.9481 0.3412
4 V 0.9481 0.7893 0.8412
5 Zn 0.3055 0.6945 0.2500
6 Zn 0.6945 0.3055 0.7500
7 Pb 0.4105 0.5895 0.7500
8 Pb 0.5895 0.4105 0.2500
9 O 0.0688 0.1576 0.4500
10 O 0.1163 0.6842 0.9617
11 O 0.1576 0.0688 0.9500
12 O 0.2913 0.4365 0.3082
13 O 0.3158 0.8837 0.5383
14 O 0.4365 0.2913 0.8082
15 O 0.5635 0.7087 0.1918
16 O 0.6842 0.1163 0.4617
17 O 0.7087 0.5635 0.6918
18 O 0.8424 0.9312 0.0500
19 O 0.8837 0.3158 0.0383
20 O 0.9312 0.8424 0.5500

Summary:
Symmetry: C2/c
Calculated total energy, eV/cell: -132.98



DFT (GGA+U) results for a geometry-optimized VZnPbO4 structure.

a b c (Å): 5.4967 5.8827 6.7500
angles (deg): 90.00 104.90 90.00
Sites, in units of the cell vectors:
1 V 0.2065 0.2500 0.1717
2 V 0.7935 0.7500 0.8283
3 Zn 0.3900 0.7500 0.0326
4 Zn 0.6100 0.2500 0.9674
5 Pb 0.2572 0.7500 0.4992
6 Pb 0.7428 0.2500 0.5008
7 O 0.0253 0.7500 0.0613
8 O 0.1203 0.2500 0.4085
9 O 0.4773 0.0368 0.1968
10 O 0.4773 0.4632 0.1968
11 O 0.5227 0.5368 0.8032
12 O 0.5227 0.9632 0.8032
13 O 0.8797 0.7500 0.5915
14 O 0.9747 0.2500 0.9387

Summary:
Symmetry: P2_1/m
Calculated total energy, eV/cell: -84.62



DFT (GGA+U) results for a geometry-optimized ZrVPb2O6 structure.

a b c (Å): 5.8809 5.8809 5.8809
angles (deg): 121.42 121.42 87.56
Sites, in units of the cell vectors:
1 Zr 0.0000 0.0000 0.0000
2 V 0.5116 0.5116 0.0000
3 Pb 0.2228 0.7228 0.5000
4 Pb 0.7228 0.2228 0.5000
5 O 0.3032 0.3032 0.5103
6 O 0.3032 0.7929 0.0000
7 O 0.3051 0.3051 0.0000
8 O 0.7701 0.7701 0.0000
9 O 0.7929 0.3032 0.0000
10 O 0.7929 0.7929 0.4897

Summary:
Symmetry: I4mm
Calculated total energy, eV/cell: -73.61



DFT (GGA+U) results for a geometry-optimized ZrV2PbO8 structure.

a b c (Å): 5.7385 5.7385 6.9666
angles (deg): 90.00 90.00 120.00
Sites, in units of the cell vectors:
1 Zr 0.0000 0.0000 0.0000
2 V 0.3333 0.6667 0.2704
3 V 0.6667 0.3333 0.7296
4 Pb 0.0000 0.0000 0.5000
5 O 0.1637 0.3275 0.1917
6 O 0.1637 0.8363 0.1917
7 O 0.3275 0.1637 0.8083
8 O 0.3333 0.6667 0.5086
9 O 0.6667 0.3333 0.4914
10 O 0.6725 0.8363 0.1917
11 O 0.8363 0.1637 0.8083
12 O 0.8363 0.6725 0.8083

Summary:
Symmetry: P-3m1
Calculated total energy, eV/cell: -92.45



DFT (GGA+U) results for a geometry-optimized Pb3WO6 structure.

a b c (Å): 5.8134 6.3817 10.2686
angles (deg): 90.00 123.19 90.00
Sites, in units of the cell vectors:
1 Pb 0.0000 0.0000 0.0000
2 Pb 0.0000 0.5000 0.5000
3 Pb 0.2270 0.0408 0.7341
4 Pb 0.2270 0.4592 0.2341
5 Pb 0.7730 0.5408 0.7659
6 Pb 0.7730 0.9592 0.2659
7 W 0.5000 0.0000 0.5000
8 W 0.5000 0.5000 0.0000
9 O 0.1790 0.1555 0.4684
10 O 0.1790 0.3445 0.9684
11 O 0.2749 0.7460 0.4284
12 O 0.2749 0.7540 0.9284
13 O 0.3899 0.0628 0.2845
14 O 0.3899 0.4372 0.7845
15 O 0.6101 0.5628 0.2155
16 O 0.6101 0.9372 0.7155
17 O 0.7251 0.2460 0.0716
18 O 0.7251 0.2540 0.5716
19 O 0.8210 0.6555 0.0316
20 O 0.8210 0.8445 0.5316

Summary:
ΔE to the lowest computed polymorph, eV/atom: 0.012
Symmetry: P2_1/c
Calculated total energy, eV/cell: -126.15



DFT (GGA+U) results for a geometry-optimized PbW3O9 structure.

a b c (Å): 5.7357 7.6994 8.2648
angles (deg): 90.00 92.87 90.00
Sites, in units of the cell vectors:
1 Pb 0.0219 0.2500 0.4307
2 Pb 0.9781 0.7500 0.5693
3 W 0.0000 0.0000 0.0000
4 W 0.0000 0.5000 0.0000
5 W 0.4725 0.0023 0.6955
6 W 0.4725 0.4977 0.6955
7 W 0.5275 0.5023 0.3045
8 W 0.5275 0.9977 0.3045
9 O 0.0508 0.2500 0.9893
10 O 0.1794 0.5393 0.7979
11 O 0.1794 0.9607 0.7979
12 O 0.2835 0.5288 0.4809
13 O 0.2835 0.9712 0.4809
14 O 0.2978 0.5299 0.1391
15 O 0.2978 0.9701 0.1391
16 O 0.4054 0.2500 0.6840
17 O 0.4661 0.2500 0.3068
18 O 0.5339 0.7500 0.6932
19 O 0.5946 0.7500 0.3160
20 O 0.7022 0.0299 0.8609
21 O 0.7022 0.4701 0.8609
22 O 0.7165 0.0288 0.5191
23 O 0.7165 0.4712 0.5191
24 O 0.8206 0.0393 0.2021
25 O 0.8206 0.4607 0.2021
26 O 0.9492 0.7500 0.0107

Summary:
Symmetry: P2_1/m
Calculated total energy, eV/cell: -189.15



DFT (GGA+U) results for a geometry-optimized Pb4W6O19 structure.

a b c (Å): 8.3248 8.3248 8.3248
angles (deg): 109.47 109.47 109.47
Sites, in units of the cell vectors:
1 Pb 0.0000 0.0000 0.2890
2 Pb 0.0000 0.2890 0.0000
3 Pb 0.2890 0.0000 0.0000
4 Pb 0.7110 0.7110 0.7110
5 W 0.1592 0.5000 0.6592
6 W 0.3408 0.8408 0.5000
7 W 0.5000 0.3408 0.8408
8 W 0.5000 0.6592 0.1592
9 W 0.6592 0.1592 0.5000
10 W 0.8408 0.5000 0.3408
11 O 0.0000 0.0000 0.0000
12 O 0.0000 0.3578 0.3578
13 O 0.0000 0.6422 0.6422
14 O 0.0415 0.7032 0.3404
15 O 0.2968 0.3383 0.6372
16 O 0.2989 0.6617 0.9585
17 O 0.3383 0.6372 0.2968
18 O 0.3404 0.0415 0.7032
19 O 0.3578 0.0000 0.3578
20 O 0.3578 0.3578 0.0000
21 O 0.3628 0.7011 0.6596
22 O 0.6372 0.2968 0.3383
23 O 0.6422 0.0000 0.6422
24 O 0.6422 0.6422 0.0000
25 O 0.6596 0.3628 0.7011
26 O 0.6617 0.9585 0.2989
27 O 0.7011 0.6596 0.3628
28 O 0.7032 0.3404 0.0415
29 O 0.9585 0.2989 0.6617

Summary:
Symmetry: I23
Calculated total energy, eV/cell: -204.25



DFT (GGA+U) results for a geometry-optimized PbWO4 structure.

a b c (Å): 7.2598 7.2598 7.2598
angles (deg): 134.89 134.89 65.71
Sites, in units of the cell vectors:
1 Pb 0.3750 0.1250 0.2500
2 Pb 0.6250 0.8750 0.7500
3 W 0.1250 0.3750 0.7500
4 W 0.8750 0.6250 0.2500
5 O 0.0638 0.2247 0.3731
6 O 0.1907 0.5638 0.3391
7 O 0.2753 0.1484 0.8391
8 O 0.3516 0.6907 0.1269
9 O 0.6484 0.3093 0.8731
10 O 0.7247 0.8516 0.1609
11 O 0.8093 0.4362 0.6609
12 O 0.9362 0.7753 0.6269

Summary:
ΔE to the lowest computed polymorph, eV/atom: 0.052
Symmetry: I4_1/a
Calculated total energy, eV/cell: -82.59



DFT (GGA+U) results for a geometry-optimized PbWO4 structure.

a b c (Å): 6.5823 6.5823 6.5823
angles (deg): 106.65 106.65 115.28
Sites, in units of the cell vectors:
1 Pb 0.3750 0.6250 0.7500
2 Pb 0.6250 0.3750 0.2500
3 W 0.1250 0.8750 0.2500
4 W 0.8750 0.1250 0.7500
5 O 0.1490 0.7164 0.4326
6 O 0.2162 0.2836 0.9326
7 O 0.2836 0.2162 0.4326
8 O 0.2836 0.8510 0.0674
9 O 0.7164 0.1490 0.9326
10 O 0.7164 0.7838 0.5674
11 O 0.7838 0.7164 0.0674
12 O 0.8510 0.2836 0.5674

Summary:
ΔE to the lowest computed polymorph, eV/atom: 0.082
Symmetry: I4_1/amd
Calculated total energy, eV/cell: -82.23